## ZnSCl2F (PBEsol)

Data for a relaxed structure of ZnSCl2F.

```
data_ZnSCl2F
_cell_length_a 4.646
_cell_length_b 4.646
_cell_length_c 4.889
_cell_angle_alpha 90.00
_cell_angle_beta 90.00
_cell_angle_gamma 90.00
_symmetry_space_group_name_H-M 'P 4/m m m'
_symmetry_Int_Tables_number 123
_symmetry_space_group_name_Hall '-P 4 2'
loop_
_atom_site_label
_atom_site_type_symbol
_atom_site_fract_x
_atom_site_fract_y
_atom_site_fract_z
Zn1 Zn 0.000 0.000 0.000
S1 S 0.000 0.000 0.500
Cl1 Cl 0.000 0.500 0.000
F1 F 0.500 0.500 0.500
```

Summary:
Formation energy without anion corrections   0.31 eV/f.u.
Size of the total moment   2.99 μB/f.u.
N(E_F)   1.371 states/eV per atom